La2Cd5Au PBE relaxed; ΔH_f (0 K) = -0.36 eV/atom; calculated density = 8.20 Mg/m³
1.0
2.3351 -8.9413 0.0000
2.3351 8.9413 0.0000
0.0000 0.0000 10.0564
La Cd Au
4 10 2
Direct
0.0000 0.0000 0.0000 La
0.0000 0.0000 0.5000 La
0.1879 0.8121 0.7500 La
0.8121 0.1879 0.2500 La
0.1947 0.8053 0.1059 Cd
0.1947 0.8053 0.3941 Cd
0.3565 0.6435 0.0270 Cd
0.3565 0.6435 0.4730 Cd
0.3959 0.6041 0.7500 Cd
0.6041 0.3959 0.2500 Cd
0.6435 0.3565 0.5270 Cd
0.6435 0.3565 0.9730 Cd
0.8053 0.1947 0.6059 Cd
0.8053 0.1947 0.8941 Cd
0.4500 0.5500 0.2500 Au
0.5500 0.4500 0.7500 Au